## SrMgZn2Si2 (PBE)

Data for an optimized crystal structure of SrMgZn2Si2.

Geometry as POSCAR:
```
SrMgZn2Si2
1.0
4.283 0.000 0.000
-2.142 3.709 0.000
0.000 0.000 7.644
Sr Mg Zn Si
1 1 2 2
Direct
0.000 0.000 0.000
0.000 0.000 0.500
0.333 0.667 0.688
0.667 0.333 0.312
0.333 0.667 0.277
0.667 0.333 0.723
```

Results
**Formation energy (no corrections)**: -0.246 eV/atom
**Crystal system**: trigonal